VASP calculation (PBE) on a relaxed structure of ZnOs.

Cell: 6.9094 6.9094 6.9094 Å, 90.00 90.00 90.00°
Positions (direct):
Zn 0.2500 0.0000 0.5000
Zn 0.7500 0.0000 0.5000
Zn 0.0000 0.5000 0.2500
Zn 0.0000 0.5000 0.7500
Zn 0.5000 0.2500 0.0000
Zn 0.5000 0.7500 0.0000
Os 0.2500 0.5000 0.0000
Os 0.7500 0.5000 0.0000
Os 0.5000 0.0000 0.2500
Os 0.5000 0.0000 0.7500
Os 0.0000 0.2500 0.5000
Os 0.0000 0.7500 0.5000

Summary:
The calculated formation energy is 2.226 eV/atom. As for the space group: No. 223. The value obtained for the total energy is -4.026 eV per atom. The crystal system is cubic. The value obtained for the density is 7.72 g/cm³.